Entry 1:
First-principles (PBE) data for a relaxed structure of NaV2Te, as listed in the Alexandria database.

```
8
Lattice="-3.846 3.846 2.758 3.846 -3.846 2.758 3.846 3.846 -2.758" Properties=species:S:1:pos:R:3 pbc="T T T"
Na 0.000 0.000 0.000
Na 0.000 3.846 1.379
V 1.923 -1.650 2.068
V 2.196 1.923 0.689
V 1.923 5.496 -0.689
V 1.650 1.923 3.447
Te 3.846 0.000 1.379
Te 0.000 0.000 2.758
```

Total DFT energy (no corrections) (eV/atom): -4.807
DOS(E_F) (states/eV/atom): 1.33
E_form (uncorrected) (eV per atom): 0.87
M_tot (μB/atom): 0.258
Density (g cm⁻³): 5.1

Entry 2:
First-principles (PBE) data for a relaxed structure of NaMgSbCl6, as listed in the Alexandria database.

```
18
Lattice="6.701 0.000 0.000 -3.350 5.803 0.000 0.000 0.000 12.579" Properties=species:S:1:pos:R:3 pbc="T T T"
Na 0.000 0.000 0.000
Na 0.000 0.000 6.289
Mg 0.000 3.869 3.145
Mg 3.350 1.934 9.434
Sb 0.000 3.869 9.434
Sb 3.350 1.934 3.145
Cl -1.109 2.120 1.685
Cl -2.068 3.783 4.605
Cl 1.109 2.120 4.605
Cl -0.960 5.703 1.685
Cl 2.391 0.100 7.974
Cl 1.282 2.020 10.894
Cl 2.068 3.783 1.685
Cl 0.960 5.703 4.605
Cl 4.310 0.100 10.894
Cl 2.242 3.683 7.974
Cl 5.419 2.020 7.974
Cl 4.459 3.683 10.894
```

Total DFT energy (no corrections) (eV/atom): -3.411
DOS(E_F) (states/eV/atom): 0.00
E_form (uncorrected) (eV per atom): -1.40
M_tot (μB/atom): 0.000
Density (g cm⁻³): 2.6